The following is a PBE calculation of a geometry-optimized BaTl2CrAs structure, from the Alexandria database.

Values from the calculation:
N(E_F): 2.4 states/eV per cell
total DFT energy (no corrections): -19.164 eV for the cell shown

abc: 5.257 6.143 5.257
angles: 90.00 90.00 90.00
Each line ends with the local moment (μB).
Positions (direct):
As (0.500, 0.500, 0.500)  0.32
Ba (0.000, 0.500, 0.000)  0.06
Tl (0.500, 0.000, 0.000)  -0.02
Tl (0.000, 0.000, 0.500)  0.06
Cr (0.000, 0.000, 0.000)  3.62